Crystalline ZnSnGe2Te at its relaxed geometry. Source: Alexandria, functional PBE.

Cell and atoms, written as POSCAR:
```
ZnSnGe2Te
1.0
-2.531 -1.933 4.337
1.460 -4.651 -1.220
4.484 0.646 2.905
Ge Te Sn Zn
2 1 1 1
direct
0.000 0.000 0.500 Ge
0.500 0.000 0.000 Ge
0.500 0.500 0.500 Te
0.000 0.000 0.000 Sn
0.000 0.500 0.000 Zn
```

## Properties
As for the space group: P4/mmm (123). The uncorrected formation energy is 590 meV per atom.

---

Crystalline Th2SnGe at its relaxed geometry. Source: Alexandria, functional PBE.

Cell and atoms, written as POSCAR:
```
Th2SnGe
1.0
3.530 0.000 0.000
0.000 3.530 0.000
0.000 0.000 8.578
Th Sn Ge
2 1 1
direct
0.000 0.000 0.228 Th
0.000 0.000 0.772 Th
0.500 0.500 0.500 Sn
0.500 0.500 0.000 Ge
```

## Properties
As for the space group: P4/mmm (123). Its energy above the lowest structure with this stoichiometry is 94 meV per atom. The value obtained for the formation energy is -12.474 kcal/mol of atoms.

---

Crystalline ThSnGe at its relaxed geometry. Source: Alexandria, functional PBE.

Cell and atoms, written as POSCAR:
```
ThSnGe
1.0
3.552 0.000 0.000
0.000 5.705 0.000
0.000 0.000 7.820
Th Sn Ge
2 2 2
direct
0.000 0.750 0.336 Th
0.000 0.250 0.664 Th
0.500 0.250 0.286 Sn
0.500 0.750 0.714 Sn
0.000 0.500 0.000 Ge
0.000 0.000 0.000 Ge
```

## Properties
As for the space group: Pmma (51). The value obtained for the formation energy is -4.951 kcal/mol of atoms.

---

Crystalline ThSnGe at its relaxed geometry. Source: Alexandria, functional PBE.

Cell and atoms, written as POSCAR:
```
ThSnGe
1.0
4.029 0.000 0.000
0.000 4.735 0.000
0.000 -2.368 4.101
Ge Th Sn
1 1 1
direct
0.500 0.667 0.333 Ge
0.000 0.000 0.000 Th
0.500 0.333 0.667 Sn
```

## Properties
As for the space group: P-6m2 (187). The value obtained for the formation energy is -7.941 kcal/mol of atoms.